1.
DFT (PBE) results for a relaxed SnPPt2N crystal.

abc: 5.0845 5.0845 3.8805
angles: 90.00 90.00 90.00
With the nearest neighbours (Å) after each atom.
Sites, in units of the cell vectors:
Sn1 0.0000 0.0000 0.0000  2 N 1.94
P1 0.5000 0.5000 0.5000  8 Pt 3.20
Pt1 0.0000 0.5000 0.0000  2 Sn 2.54
Pt2 0.5000 0.0000 0.0000  2 Sn 2.54
N1 0.0000 0.0000 0.5000  2 Sn 1.94

**Calculated volume**: 100.3 Å³ per cell
**Crystal system**: tetragonal
**DFT total energy**: -4.490 eV per atom
**Magnetic moment**: 0.00 μB/f.u.
**Space group**: No. 123
**Mass density**: 9168 kg/m3

***

2.
DFT (PBE) results for a relaxed Rb4Ac3YSe8 crystal.

abc: 9.5922 9.5922 9.5922
angles: 56.26 56.26 56.26
With the nearest neighbours (Å) after each atom.
Sites, in units of the cell vectors:
Rb1 0.0000 0.0000 0.0000  6 Se 3.64
Rb2 0.0000 0.5000 0.5000  6 Se 3.50
Rb3 0.5000 0.0000 0.5000  6 Se 3.50
Rb4 0.5000 0.5000 0.0000  6 Se 3.50
Ac1 0.0000 0.0000 0.5000  6 Se 3.11-3.13
Ac2 0.0000 0.5000 0.0000  6 Se 3.11-3.13
Ac3 0.5000 0.0000 0.0000  6 Se 3.11-3.13
Y1 0.5000 0.5000 0.5000  6 Se 2.97
Se1 0.2369 0.2369 0.2369  3 Ac 3.11
Se2 0.2505 0.7257 0.7257  1 Y 2.97, 2 Ac 3.13
Se3 0.2743 0.2743 0.7495  1 Y 2.97, 2 Ac 3.13
Se4 0.2743 0.7495 0.2743  1 Y 2.97, 2 Ac 3.13
Se5 0.7257 0.2505 0.7257  1 Y 2.97, 2 Ac 3.13
Se6 0.7257 0.7257 0.2505  1 Y 2.97, 2 Ac 3.13
Se7 0.7495 0.2743 0.2743  1 Y 2.97, 2 Ac 3.13
Se8 0.7631 0.7631 0.7631  3 Ac 3.11

**Calculated volume**: 570.1 Å³ per cell
**Crystal system**: trigonal
**DFT total energy**: -4.936 eV per atom
**Magnetic moment**: 0.00 μB/f.u.
**Space group**: No. 166
**Mass density**: 5078 kg/m3

***

3.
DFT (PBE) results for a relaxed HgTe2 crystal.

abc: 13.1930 3.0568 9.6512
angles: 90.00 104.51 90.00
With the nearest neighbours (Å) after each atom.
Sites, in units of the cell vectors:
Hg1 0.0474 0.0000 0.1591  3 Hg 3.01-3.06, 1 Te 3.25
Hg2 0.4526 0.5000 0.8409  3 Hg 3.01-3.06, 1 Te 3.25
Hg3 0.5474 0.5000 0.1591  3 Hg 3.01-3.06, 1 Te 3.25
Hg4 0.9526 0.0000 0.8409  3 Hg 3.01-3.06, 1 Te 3.25
Te1 0.1217 0.5000 0.5065  4 Te 3.06-3.18
Te2 0.2048 0.5000 0.8335  3 Te 3.06-3.07, 1 Hg 3.25
Te3 0.2952 0.0000 0.1665  3 Te 3.06-3.07, 1 Hg 3.25
Te4 0.3783 0.0000 0.4935  4 Te 3.06-3.18
Te5 0.6217 0.0000 0.5065  4 Te 3.06-3.18
Te6 0.7048 0.0000 0.8335  3 Te 3.06-3.07, 1 Hg 3.25
Te7 0.7952 0.5000 0.1665  3 Te 3.06-3.07, 1 Hg 3.25
Te8 0.8783 0.5000 0.4935  4 Te 3.06-3.18

**Calculated volume**: 376.8 Å³ per cell
**Excess energy over the best structure of this formula in the dataset**: 0.153 eV per formula unit
**Crystal system**: monoclinic
**Magnetic moment**: 0.00 μB/f.u.
**Space group**: No. 12
**Mass density**: 8035 kg/m3

***

4.
DFT (PBE) results for a relaxed SrCdRe4 crystal.

abc: 5.4203 5.4203 5.4203
angles: 60.00 60.00 60.00
With the nearest neighbours (Å) after each atom.
Sites, in units of the cell vectors:
Sr1 0.0000 0.0000 0.0000  12 Re 3.18, 4 Cd 3.32
Cd1 0.7500 0.7500 0.7500  12 Re 3.18, 4 Sr 3.32
Re1 0.3757 0.3757 0.3757  6 Re 2.69-2.73
Re2 0.3757 0.3757 0.8729  6 Re 2.69-2.73
Re3 0.3757 0.8729 0.3757  6 Re 2.69-2.73
Re4 0.8729 0.3757 0.3757  6 Re 2.69-2.73

**Calculated volume**: 112.6 Å³ per cell
**Crystal system**: cubic
**Formation enthalpy at 0 K**: 55.4 kJ per mole of atoms
**Magnetic moment**: 0.00 μB/f.u.
**Space group**: No. 216
**Mass density**: 13934 kg/m3

***

5.
DFT (PBE) results for a relaxed YIn crystal.

abc: 5.0564 5.0564 10.3517
angles: 90.00 90.00 120.00
With the nearest neighbours (Å) after each atom.
Sites, in units of the cell vectors:
Y1 0.3333 0.6667 0.0934  4 Y 3.24-3.50, 7 In 3.34-3.55
Y2 0.3333 0.6667 0.4066  4 Y 3.24-3.50, 7 In 3.34-3.55
Y3 0.6667 0.3333 0.5934  4 Y 3.24-3.50, 7 In 3.34-3.55
Y4 0.6667 0.3333 0.9066  4 Y 3.24-3.50, 7 In 3.34-3.55
In1 0.0000 0.0000 0.2500  3 In 2.92
In2 0.0000 0.0000 0.7500  3 In 2.92
In3 0.3333 0.6667 0.7500  3 In 2.92
In4 0.6667 0.3333 0.2500  3 In 2.92

**Calculated volume**: 229.2 Å³ per cell
**Crystal system**: hexagonal
**Formation enthalpy at 0 K**: -11.7 kJ per mole of atoms
**Magnetic moment**: 0.00 μB/f.u.
**Space group**: No. 194
**Mass density**: 5904 kg/m3

***

6.
DFT (PBE) results for a relaxed K2TlPO4 crystal.

abc: 8.3284 6.0239 5.7735
angles: 90.00 90.00 90.00
With the nearest neighbours (Å) after each atom.
Sites, in units of the cell vectors:
K1 0.2400 0.2370 0.0000  7 O 2.74-3.04
K2 0.2600 0.7630 0.5000  7 O 2.74-3.04
K3 0.7400 0.7630 0.5000  7 O 2.74-3.04
K4 0.7600 0.2370 0.0000  7 O 2.74-3.04
Tl1 0.0000 0.7193 0.9992  2 O 2.49
Tl2 0.5000 0.2807 0.4992  2 O 2.49
P1 0.0000 0.1877 0.4995  4 O 1.56-1.58
P2 0.5000 0.8123 0.9995  4 O 1.56-1.58
O1 0.0000 0.0319 0.2802  1 P 1.58
O2 0.0000 0.0357 0.7216  1 P 1.58
O3 0.1549 0.3322 0.4980  1 P 1.56
O4 0.3451 0.6678 0.9980  1 P 1.56
O5 0.5000 0.9643 0.2216  1 P 1.58
O6 0.5000 0.9681 0.7802  1 P 1.58
O7 0.6549 0.6678 0.9980  1 P 1.56
O8 0.8451 0.3322 0.4980  1 P 1.56

**Calculated volume**: 289.7 Å³ per cell
**Crystal system**: orthorhombic
**DFT total energy**: -5.683 eV per atom
**Magnetic moment**: 0.00 μB/f.u.
**Space group**: No. 31
**Mass density**: 4329 kg/m3

***

7.
DFT (PBE) results for a relaxed SrCe2Se4 crystal.

abc: 7.3207 7.3207 14.2972
angles: 90.00 90.00 146.31
With the nearest neighbours (Å) after each atom.
Sites, in units of the cell vectors:
Sr1 0.1140 0.8860 0.7500  6 Se 3.06-3.27
Sr2 0.8860 0.1140 0.2500  6 Se 3.06-3.27
Ce1 0.3678 0.6322 0.5681  6 Se 2.88-2.99
Ce2 0.3678 0.6322 0.9319  6 Se 2.88-2.99
Ce3 0.6322 0.3678 0.0681  6 Se 2.88-2.99
Ce4 0.6322 0.3678 0.4319  6 Se 2.88-2.99
Se1 0.0000 0.0000 0.0000  4 Ce 2.98
Se2 0.0000 0.0000 0.5000  4 Ce 2.98
Se3 0.2708 0.7292 0.1179  3 Ce 2.96-2.99, 2 Sr 3.27
Se4 0.2708 0.7292 0.3821  3 Ce 2.96-2.99, 2 Sr 3.27
Se5 0.4561 0.5439 0.7500  2 Ce 2.88, 2 Sr 3.06
Se6 0.5439 0.4561 0.2500  2 Ce 2.88, 2 Sr 3.06
Se7 0.7292 0.2708 0.6179  3 Ce 2.96-2.99, 2 Sr 3.27
Se8 0.7292 0.2708 0.8821  3 Ce 2.96-2.99, 2 Sr 3.27

**Calculated volume**: 425.0 Å³ per cell
**Excess energy over the best structure of this formula in the dataset**: 0.155 eV per formula unit
**Crystal system**: orthorhombic
**Magnetic moment**: 1.97 μB/f.u.
**Space group**: No. 63
**Mass density**: 5342 kg/m3

***

8.
DFT (PBE) results for a relaxed Be2FeTeCl crystal.

abc: 4.6569 4.6569 4.0740
angles: 90.00 90.00 90.00
With the nearest neighbours (Å) after each atom.
Sites, in units of the cell vectors:
Be1 0.0000 0.5000 0.0000  2 Fe 2.33
Be2 0.5000 0.0000 0.0000  2 Fe 2.33
Fe1 0.0000 0.0000 0.0000  2 Cl 2.04
Te1 0.5000 0.5000 0.5000  8 Be 3.09, 4 Cl 3.29
Cl1 0.0000 0.0000 0.5000  2 Fe 2.04

**Calculated volume**: 88.4 Å³ per cell
**Crystal system**: tetragonal
**DFT total energy**: -3.474 eV per atom
**Magnetic moment**: 1.29 μB/f.u.
**Space group**: No. 123
**Mass density**: 4453 kg/m3

***

9.
DFT (PBE) results for a relaxed InTcTe crystal.

abc: 4.6063 4.6063 3.5038
angles: 90.00 90.00 120.00
With the nearest neighbours (Å) after each atom.
Sites, in units of the cell vectors:
In1 0.0000 0.0000 0.0000  6 Te 3.18, 6 Tc 3.18, 2 In 3.50
Tc1 0.3333 0.6667 0.5000  3 Te 2.66
Te1 0.6667 0.3333 0.5000  3 Tc 2.66

**Calculated volume**: 64.4 Å³ per cell
**Excess energy over the best structure of this formula in the dataset**: 1.075 eV per formula unit
**Crystal system**: hexagonal
**Magnetic moment**: 0.00 μB/f.u.
**Space group**: No. 187
**Mass density**: 8780 kg/m3

***

10.
DFT (PBE) results for a relaxed TlMo2Ru crystal.

abc: 3.1165 3.1165 7.1362
angles: 90.00 90.00 90.00
With the nearest neighbours (Å) after each atom.
Sites, in units of the cell vectors:
Tl1 0.0000 0.0000 0.0000  4 Ru 2.98, 4 Mo 3.04, 4 Tl 3.12
Mo1 0.0000 0.0000 0.5138  4 Ru 2.65, 4 Mo 2.71
Mo2 0.5000 0.5000 0.2925  4 Mo 2.71, 4 Tl 3.04
Ru1 0.5000 0.5000 0.7190  4 Mo 2.65

**Calculated volume**: 69.3 Å³ per cell
**Excess energy over the best structure of this formula in the dataset**: 0.176 eV per formula unit
**Crystal system**: tetragonal
**Formation enthalpy at 0 K**: 42.0 kJ per mole of atoms
**Magnetic moment**: 0.00 μB/f.u.
**Space group**: No. 99
**Mass density**: 11915 kg/m3